[1]
Material: LiBePt
Method: DFT, PBEsol
State: optimized geometry

```
LiBePt
1.0
3.877 0.000 0.000
1.939 3.358 0.000
1.939 1.119 3.166
Li Be Pt
1 1 1
Direct
0.500 0.500 0.500
0.000 0.000 0.000
0.250 0.250 0.250
```

Values from the calculation:
V = 41 Å³ per cell
calculated total energy = -4.411 eV/atom
formation enthalpy at 0 K = -100 meV/atom
energy above the most stable polymorph in this dataset = 512.9 meV/atom
SG = F-43m
ρ = 8.5 g/cm³

[2]
Material: LiTaBe2Pt
Method: DFT, PBEsol
State: optimized geometry

```
LiTaBe2Pt
1.0
4.273 0.000 0.000
0.000 4.273 0.000
0.000 0.000 4.380
Li Pt Ta Be
1 1 1 2
Direct
0.000 0.000 0.500
0.500 0.500 0.500
0.000 0.000 0.000
0.000 0.500 0.000
0.500 0.000 0.000
```

Values from the calculation:
V = 80 Å³ per cell
calculated total energy = -4.079 eV/atom
formation enthalpy at 0 K = 1817 meV/atom
SG = P4/mmm
ρ = 8.3 g/cm³